# La5TbDyY2

A relaxed structure of La5TbDyY2 (PBE-GGA, Alexandria via LeMat-Bulk).

Output
formation energy from the elements: 0.31 eV per atom
SG: No. 140
uncorrected energy: -4.890 eV per atom
M_tot: 0.0 Bohr magnetons per cell
DOS at the Fermi energy: 36.369 states/eV per cell

a = 8.974 Å, b = 8.974 Å, c = 10.143 Å
α = 116.26°, β = 116.26°, γ = 90.00°
Positions (direct):
La  0.936  0.436  0.291
La  0.646  0.146  0.709
La  0.064  0.564  0.709
La  0.146  0.064  0.709
La  0.564  0.646  0.709
La  0.854  0.936  0.291
La  0.436  0.354  0.291
La  0.354  0.854  0.291
La  0.500  0.500  0.000
La  0.000  0.000  0.000
Tb  0.250  0.250  0.500
Tb  0.750  0.750  0.500
Dy  0.250  0.750  0.500
Dy  0.750  0.250  0.500
Y  0.117  0.383  0.000
Y  0.617  0.117  0.000
Y  0.383  0.883  0.000
Y  0.883  0.617  0.000


# InGaSn3

A relaxed structure of InGaSn3 (PBE-GGA, Alexandria via LeMat-Bulk).

Output
formation energy from the elements: 0.64 eV per atom
SG: No. 221
uncorrected energy: -2.913 eV per atom
M_tot: 0.0 Bohr magnetons per cell
DOS at the Fermi energy: 3.945 states/eV per cell
excess energy over the best structure of this formula in the dataset: 0.599 eV/atom

a = 5.655 Å, b = 5.655 Å, c = 5.655 Å
α = 90.00°, β = 90.00°, γ = 90.00°
Positions (direct):
Sn  0.000  0.500  0.000
Sn  0.000  0.000  0.500
Sn  0.500  0.000  0.000
Ga  0.500  0.500  0.500
In  0.000  0.000  0.000


# Cr2Ni8Ru

A relaxed structure of Cr2Ni8Ru (PBE-GGA, Alexandria via LeMat-Bulk).

Output
formation energy from the elements: 0.16 eV per atom
SG: No. 71
uncorrected energy: -6.637 eV per atom
M_tot: 2.3 Bohr magnetons per cell
DOS at the Fermi energy: 13.283 states/eV per cell

a = 3.488 Å, b = 7.278 Å, c = 6.572 Å
α = 123.62°, β = 105.39°, γ = 90.00°
Positions (direct):
Cr  0.156  0.656  0.312
Cr  0.844  0.344  0.688
Ni  0.664  0.910  0.327
Ni  0.336  0.583  0.673
Ni  0.176  0.176  0.351
Ni  0.000  0.252  0.000
Ni  0.824  0.824  0.649
Ni  0.664  0.417  0.327
Ni  0.336  0.090  0.673
Ni  0.000  0.748  0.000
Ru  0.500  0.000  0.000


Which value of formation energy from the elements does entry 3 give?
0.16 eV per atom


Which value of M_tot does entry 2 give?
0.0 Bohr magnetons per cell


What is the M_tot in the second record?
0.0 Bohr magnetons per cell